Run one
Material: AcLa3Nd5
Method: DFT, PBE-GGA
State: relaxed Values from VASP.

Structure (Quantum ESPRESSO input):
```
&SYSTEM
  ibrav = 0, nat = 18, ntyp = 3
/
ATOMIC_SPECIES
Ac 227.00 Ac.upf
La 138.91 La.upf
Nd 144.24 Nd.upf
CELL_PARAMETERS angstrom
8.3843 -3.5387 0.0000
8.3843 3.5387 0.0000
-3.9596 0.0000 11.4149
ATOMIC_POSITIONS crystal
Ac 0.2320 0.7680 0.7500
Ac 0.7680 0.2320 0.2500
La 0.0000 0.0000 0.0000
La 0.0000 0.0000 0.5000
La 0.1458 0.3690 0.6377
La 0.3690 0.1458 0.1377
La 0.6310 0.8542 0.8623
La 0.8542 0.6310 0.3623
Nd 0.0653 0.2895 0.8693
Nd 0.2895 0.0653 0.3693
Nd 0.3103 0.6897 0.2500
Nd 0.3913 0.3939 0.4547
Nd 0.3939 0.3913 0.9547
Nd 0.6061 0.6087 0.0453
Nd 0.6087 0.6061 0.5453
Nd 0.6897 0.3103 0.7500
Nd 0.7105 0.9347 0.6307
Nd 0.9347 0.7105 0.1307
```

DOS at the Fermi energy ... 13.009 states/eV/f.u.
Spin magnetization ... 0.0 μB per formula unit
Crystal system ... monoclinic

Run two
Material: AcLa3Nd5
Method: DFT, PBE-GGA
State: relaxed Values from VASP.

Structure (Quantum ESPRESSO input):
```
&SYSTEM
  ibrav = 0, nat = 18, ntyp = 3
/
ATOMIC_SPECIES
Ac 227.00 Ac.upf
La 138.91 La.upf
Nd 144.24 Nd.upf
CELL_PARAMETERS angstrom
5.7928 -4.2023 0.0000
5.7928 4.2023 0.0000
-1.2697 0.0000 14.4138
ATOMIC_POSITIONS crystal
Ac 0.0367 0.0367 0.2503
Ac 0.9633 0.9633 0.7497
La 0.0000 0.0000 0.0000
La 0.0000 0.0000 0.5000
La 0.2327 0.2327 0.8854
La 0.3599 0.3599 0.4988
La 0.6401 0.6401 0.5012
La 0.7673 0.7673 0.1146
Nd 0.0027 0.4374 0.6675
Nd 0.2636 0.2636 0.1165
Nd 0.3234 0.6766 0.0000
Nd 0.4374 0.0027 0.6675
Nd 0.4871 0.4871 0.7438
Nd 0.5129 0.5129 0.2562
Nd 0.5626 0.9973 0.3325
Nd 0.6766 0.3234 0.0000
Nd 0.7364 0.7364 0.8835
Nd 0.9973 0.5626 0.3325
```

DOS at the Fermi energy ... 12.234 states/eV/f.u.
Spin magnetization ... 0.0 μB per formula unit
Crystal system ... monoclinic

Energies relative to the most stable structure, in meV/atom: run one 0; run two 150.